Computed, not measured: an optimized crystal structure of VReCl2 at the PBE level of DFT.

Results
Its calculated volume is 16.2 Å³/atom. The energy relative to the elements, uncorrected is 0.533 eV/atom. The space-group type is I-42d, No. 122. For the density of states at the Fermi level, the calculation gives 7.82 states/eV/cell.

Structure (POSCAR):
```
VReCl2
1.0
-2.042 2.042 7.773
2.042 -2.042 7.773
2.042 2.042 -7.773
V Re Cl
2 2 4
Cartesian
0.000 0.000 0.000
0.000 2.042 3.887
2.042 0.000 3.887
0.000 0.000 7.773
3.063 1.020 -1.943
1.020 1.021 1.943
-1.021 1.022 5.830
1.022 1.021 9.716
```